Entry P
This record from Alexandria via LeMat-Bulk describes an optimized crystal structure of Ac2CdAu6. The functional is PBE.

a b c (Å): 3.886 8.255 8.255
angles (deg): 120.00 90.00 90.00
Sites, in units of the cell vectors:
Ac1 0.000 0.333 0.667
Ac2 0.000 0.667 0.333
Cd1 0.000 0.000 0.000
Au1 0.500 0.331 0.331
Au2 0.500 0.669 0.669
Au3 0.500 0.000 0.669
Au4 0.500 0.669 0.000
Au5 0.500 0.331 0.000
Au6 0.500 0.000 0.331

Results
SG: P6/mmm
crystal system: hexagonal
total moment: 0.00 μB/f.u.


Entry Q
This record from Alexandria via LeMat-Bulk describes an optimized crystal structure of Ac2CdAu6. The functional is PBE.

a b c (Å): 5.781 6.603 6.603
angles (deg): 59.92 89.98 89.98
Sites, in units of the cell vectors:
Ac1 0.825 0.667 0.667
Ac2 0.175 0.333 0.333
Cd1 0.000 0.000 0.000
Au1 0.323 0.369 0.816
Au2 0.321 0.815 0.815
Au3 0.323 0.816 0.369
Au4 0.677 0.631 0.184
Au5 0.679 0.185 0.185
Au6 0.677 0.184 0.631

Results
SG: C2/m
crystal system: monoclinic
total moment: 0.00 μB/f.u.


Preferred: entry Q; penalty for the next structure: 82 meV/atom.